Entry from the Alexandria database: a relaxed structure of HgP2Pb (PBE).

Calculated values
Relative energy among the computed polymorphs   1.78 eV per formula unit
Size of the total moment   0.00 Bohr magnetons per cell
Calculated formation energy   570 meV/atom

a = 4.018 Å, b = 6.007 Å, c = 7.626 Å
α = 90.00°, β = 90.00°, γ = 90.00°
Fractional coordinates of all 8 atoms:
Hg (0.000, 0.000, 0.000)
Hg (0.500, 0.500, 0.000)
P (0.000, 0.500, 0.231)
P (0.000, 0.500, 0.769)
P (0.500, 0.000, 0.231)
P (0.500, 0.000, 0.769)
Pb (0.000, 0.000, 0.500)
Pb (0.500, 0.500, 0.500)

Entry from the Alexandria database: a relaxed structure of CeTiPd2 (PBE).

Calculated values
Relative energy among the computed polymorphs   0.11 eV per formula unit
Size of the total moment   2.31 Bohr magnetons per cell
Calculated formation energy   -521 meV/atom

a = 4.460 Å, b = 4.460 Å, c = 14.416 Å
α = 90.00°, β = 90.00°, γ = 120.00°
Fractional coordinates of all 12 atoms:
Ce (0.000, 0.000, 0.000)
Ce (0.333, 0.667, 0.667)
Ce (0.667, 0.333, 0.333)
Ti (0.000, 0.000, 0.500)
Ti (0.333, 0.667, 0.167)
Ti (0.667, 0.333, 0.833)
Pd (0.000, 0.000, 0.213)
Pd (0.000, 0.000, 0.787)
Pd (0.333, 0.667, 0.454)
Pd (0.333, 0.667, 0.879)
Pd (0.667, 0.333, 0.121)
Pd (0.667, 0.333, 0.546)

Entry from the Alexandria database: a relaxed structure of Zr2InCl8 (PBE).

Calculated values
Relative energy among the computed polymorphs   0.24 eV per formula unit
Size of the total moment   1.02 Bohr magnetons per cell
Formation energy (no corrections)   -33.7 kcal/mol of atoms

a = 8.171 Å, b = 8.171 Å, c = 6.926 Å
α = 94.08°, β = 94.08°, γ = 80.84°
Fractional coordinates of all 11 atoms:
Zr (0.187, 0.187, 0.369)
Zr (0.813, 0.813, 0.631)
In (0.000, 0.000, 0.000)
Cl (0.095, 0.681, 0.689)
Cl (0.189, 0.189, 0.716)
Cl (0.319, 0.905, 0.311)
Cl (0.358, 0.358, 0.258)
Cl (0.642, 0.642, 0.742)
Cl (0.681, 0.095, 0.689)
Cl (0.811, 0.811, 0.284)
Cl (0.905, 0.319, 0.311)

Entry from the Alexandria database: a relaxed structure of LiPm3Ho3S8 (PBE).

Calculated values
Size of the total moment   0.00 Bohr magnetons per cell
Formation energy (no corrections)   -46.0 kcal/mol of atoms

a = 7.889 Å, b = 7.889 Å, c = 7.889 Å
α = 59.60°, β = 59.60°, γ = 59.60°
Fractional coordinates of all 15 atoms:
Li (0.000, 0.000, 0.000)
Pm (0.000, 0.000, 0.500)
Pm (0.000, 0.500, 0.000)
Pm (0.500, 0.000, 0.000)
Ho (0.000, 0.500, 0.500)
Ho (0.500, 0.000, 0.500)
Ho (0.500, 0.500, 0.000)
S (0.244, 0.244, 0.748)
S (0.244, 0.748, 0.244)
S (0.252, 0.756, 0.756)
S (0.254, 0.254, 0.254)
S (0.746, 0.746, 0.746)
S (0.748, 0.244, 0.244)
S (0.756, 0.252, 0.756)
S (0.756, 0.756, 0.252)

Entry from the Alexandria database: a relaxed structure of ZnPOs2Pd (PBE).

Calculated values
Size of the total moment   1.11 Bohr magnetons per cell
Calculated formation energy   631 meV/atom

a = 4.370 Å, b = 4.370 Å, c = 4.447 Å
α = 90.00°, β = 90.00°, γ = 90.00°
Fractional coordinates of all 5 atoms:
Zn (0.000, 0.000, 0.000)
P (0.500, 0.500, 0.500)
Os (0.000, 0.500, 0.500)
Os (0.500, 0.000, 0.500)
Pd (0.500, 0.500, 0.000)

Entry from the Alexandria database: a relaxed structure of Pu4Pb3Au (PBE).

Calculated values
Size of the total moment   0.06 Bohr magnetons per cell
Calculated formation energy   -220 meV/atom

a = 3.443 Å, b = 3.443 Å, c = 18.165 Å
α = 90.00°, β = 90.00°, γ = 90.00°
Fractional coordinates of all 8 atoms:
Pu (0.000, 0.000, 0.109)
Pu (0.000, 0.000, 0.371)
Pu (0.000, 0.000, 0.629)
Pu (0.000, 0.000, 0.891)
Pb (0.500, 0.500, 0.241)
Pb (0.500, 0.500, 0.500)
Pb (0.500, 0.500, 0.759)
Au (0.500, 0.500, 0.000)

Entry from the Alexandria database: a relaxed structure of Pm6AgAu2 (PBE).

Calculated values
Size of the total moment   1.04 Bohr magnetons per cell
Calculated formation energy   -220 meV/atom

a = 8.854 Å, b = 8.854 Å, c = 5.121 Å
α = 106.70°, β = 106.70°, γ = 48.24°
Fractional coordinates of all 9 atoms:
Pm (0.079, 0.585, 0.332)
Pm (0.245, 0.755, 0.000)
Pm (0.415, 0.921, 0.668)
Pm (0.585, 0.079, 0.332)
Pm (0.755, 0.245, 0.000)
Pm (0.921, 0.415, 0.668)
Ag (0.500, 0.500, 0.500)
Au (0.167, 0.167, 0.167)
Au (0.833, 0.833, 0.833)

Entry from the Alexandria database: a relaxed structure of Ac5LaNd2Y (PBE).

Calculated values
Size of the total moment   0.00 Bohr magnetons per cell
Calculated formation energy   142 meV/atom

a = 11.296 Å, b = 11.296 Å, c = 11.313 Å
α = 90.00°, β = 90.00°, γ = 149.01°
Fractional coordinates of all 18 atoms:
Ac (0.012, 0.988, 0.500)
Ac (0.276, 0.724, 0.808)
Ac (0.298, 0.702, 0.191)
Ac (0.374, 0.626, 0.505)
Ac (0.486, 0.514, 0.232)
Ac (0.514, 0.486, 0.732)
Ac (0.626, 0.374, 0.005)
Ac (0.702, 0.298, 0.691)
Ac (0.724, 0.276, 0.308)
Ac (0.988, 0.012, 0.000)
La (0.408, 0.592, 0.949)
La (0.592, 0.408, 0.449)
Nd (0.114, 0.886, 0.791)
Nd (0.117, 0.883, 0.228)
Nd (0.883, 0.117, 0.728)
Nd (0.886, 0.114, 0.291)
Y (0.192, 0.808, 0.501)
Y (0.808, 0.192, 0.001)